Entry from the Alexandria database: an optimized crystal structure of MnNb2I2 (GGA-PBE).

Unit cell a=8.1794 b=8.1794 c=3.2330 alpha=90.00 beta=90.00 gamma=90.00
Closest atoms and distances in Å follow each position.
Sites, in units of the cell vectors:
Mn: 0.0000 0.0000 0.0000  4 I 3.14, 2 Mn 3.23, 8 Nb 3.48
I: 0.1439 0.3561 0.0000  6 Nb 2.79-2.96
I: 0.3561 0.8561 0.0000  6 Nb 2.79-2.96
Nb: 0.8410 0.3410 0.5000  6 I 2.79-2.96
Nb: 0.6590 0.8410 0.5000  6 I 2.79-2.96
Nb: 0.3410 0.1590 0.5000  6 I 2.79-2.96
I: 0.6439 0.1439 0.0000  6 Nb 2.79-2.96
Mn: 0.5000 0.5000 0.0000  4 I 3.14, 2 Mn 3.23, 8 Nb 3.48
I: 0.8561 0.6439 0.0000  6 Nb 2.79-2.96
Nb: 0.1590 0.6590 0.5000  6 I 2.79-2.96

Summary:
E above lowest polymorph   0.000 eV per atom


Entry from the Alexandria database: an optimized crystal structure of MgInPtS2 (GGA-PBE).

Unit cell a=4.8668 b=4.8744 c=4.8668 alpha=90.00 beta=90.00 gamma=90.00
Closest atoms and distances in Å follow each position.
Sites, in units of the cell vectors:
Mg: 0.0000 0.5000 0.0000  2 Pt 2.44
Pt: 0.0000 0.0000 0.0000  4 S 2.43, 2 Mg 2.44
S: 0.5000 0.0000 0.0000  2 Pt 2.43
In: 0.5000 0.5000 0.5000  4 Mg 3.44, 8 S 3.44
S: 0.0000 0.0000 0.5000  2 Pt 2.43

Summary:
Raw total energy   -3.733 eV/atom


| no. | theoretical density (Mg/m³) |
| --- | --- |
| 1 | 7.6 |
| 2 | 5.7 |